Entry 1:
! Ce2ThP3 PBE relaxed; values from VASP
&SYSTEM
  ibrav = 0, nat = 24, ntyp = 3
/
ATOMIC_SPECIES
Ce 140.12 Ce.upf
Th 232.04 Th.upf
P 30.97 P.upf
ATOMIC_POSITIONS crystal
Ce 0.124 0.250 0.083
Ce 0.125 0.250 0.750
Ce 0.375 0.750 0.250
Ce 0.376 0.750 0.583
Ce 0.624 0.250 0.417
Ce 0.625 0.250 0.750
Ce 0.875 0.750 0.250
Ce 0.876 0.750 0.917
Th 0.126 0.250 0.417
Th 0.374 0.750 0.917
Th 0.626 0.250 0.083
Th 0.874 0.750 0.583
P 0.124 0.750 0.084
P 0.125 0.750 0.750
P 0.126 0.750 0.416
P 0.374 0.250 0.916
P 0.375 0.250 0.250
P 0.376 0.250 0.584
P 0.624 0.750 0.416
P 0.625 0.750 0.750
P 0.626 0.750 0.084
P 0.874 0.250 0.584
P 0.875 0.250 0.250
P 0.876 0.250 0.916
CELL_PARAMETERS angstrom
8.227 0.000 0.000
0.000 5.817 0.000
0.000 0.000 12.339
! Energy of formation from the pure elements ... -1.530 eV/atom
! Crystal system ... orthorhombic
! Energy ... -178.78 eV for the cell shown
! Distance to the lowest polymorph of the same formula ... 0.000 eV/atom
! Space group ... Pnma, No. 62



Entry 2:
! TePtN2Cl PBE relaxed; values from VASP
&SYSTEM
  ibrav = 0, nat = 5, ntyp = 4
/
ATOMIC_SPECIES
Te 127.60 Te.upf
Pt 195.08 Pt.upf
N 14.01 N.upf
Cl 35.45 Cl.upf
ATOMIC_POSITIONS crystal
Te 0.000 0.000 0.000
Pt 0.500 0.500 0.000
N 0.000 0.500 0.500
N 0.500 0.000 0.500
Cl 0.000 0.000 0.500
CELL_PARAMETERS angstrom
3.736 0.000 0.000
0.000 3.736 0.000
0.000 0.000 8.201
! Crystal system ... tetragonal
! Energy ... -17.08 eV for the cell shown
! Formation energy (no corrections) ... 2.1203 eV per atom
! Distance to the lowest polymorph of the same formula ... 0.939 eV/atom
! Space group ... P4/mmm, No. 123



Entry 3:
! PrLuCdPd PBE relaxed; values from VASP
&SYSTEM
  ibrav = 0, nat = 4, ntyp = 4
/
ATOMIC_SPECIES
Pr 140.91 Pr.upf
Lu 174.97 Lu.upf
Cd 112.41 Cd.upf
Pd 106.42 Pd.upf
ATOMIC_POSITIONS crystal
Pr 0.000 0.000 0.000
Lu 0.500 0.500 0.500
Cd 0.250 0.250 0.250
Pd 0.750 0.750 0.750
CELL_PARAMETERS angstrom
0.000 3.666 3.666
3.666 0.000 3.666
3.666 3.666 0.000
! Energy of formation from the pure elements ... -0.496 eV/atom
! Crystal system ... cubic
! Energy ... -17.39 eV for the cell shown
! Space group ... F-43m, No. 216



Entry 4:
! Li7La3Hg4 PBE relaxed; values from VASP
&SYSTEM
  ibrav = 0, nat = 14, ntyp = 3
/
ATOMIC_SPECIES
Li 6.94 Li.upf
La 138.91 La.upf
Hg 200.59 Hg.upf
ATOMIC_POSITIONS crystal
Li 0.000 0.000 0.000
Li 0.141 0.141 0.937
Li 0.337 0.337 0.488
Li 0.496 0.496 0.818
Li 0.504 0.504 0.182
Li 0.663 0.663 0.512
Li 0.859 0.859 0.063
La 0.000 0.000 0.500
La 0.279 0.279 0.778
La 0.721 0.721 0.222
Hg 0.132 0.132 0.335
Hg 0.348 0.348 0.201
Hg 0.652 0.652 0.799
Hg 0.868 0.868 0.665
CELL_PARAMETERS angstrom
8.322 -2.483 0.000
8.322 2.483 0.000
-5.189 0.000 7.790
! Energy of formation from the pure elements ... -0.290 eV/atom
! Crystal system ... monoclinic
! Energy ... -33.45 eV for the cell shown
! Space group ... C2/m, No. 12